(1)
DFT (PBE) results for an optimized crystal structure of NdGa5Ag7.

Lattice parameters (Å, degrees): 5.4297 7.1797 7.1797 82.15 67.78 67.78
Last column: nearest neighbours and their distance in Å.
Element x y z (fractional)
Ga  0.0038  0.4953  0.0011  3 Ga 2.69-2.77, 7 Ag 2.71-2.89
Ga  0.7186  0.7814  0.7814  4 Ga 2.77, 6 Ag 2.84-2.97
Ga  0.4998  0.0011  0.4953  3 Ga 2.69-2.77, 7 Ag 2.71-2.89
Ga  0.0038  0.0011  0.4953  3 Ga 2.69-2.77, 7 Ag 2.71-2.89
Ga  0.4998  0.4953  0.0011  3 Ga 2.69-2.77, 7 Ag 2.71-2.89
Ag  0.2812  0.2188  0.2188  4 Ga 2.71, 6 Ag 2.89-3.02
Ag  0.5038  0.7834  0.2091  5 Ga 2.72-2.84, 4 Ag 2.89-3.03
Ag  0.5038  0.2091  0.7834  5 Ga 2.72-2.84, 4 Ag 2.89-3.03
Ag  0.6494  0.3506  0.3506  4 Ga 2.87, 5 Ag 2.87-3.03
Ag  0.3427  0.6573  0.6573  6 Ga 2.87-2.95, 3 Ag 2.87-3.10, 1 Nd 3.21
Ag  0.9966  0.6550  0.3518  5 Ga 2.84-2.97, 4 Ag 2.86-3.02
Ag  0.9966  0.3518  0.6550  5 Ga 2.84-2.97, 4 Ag 2.86-3.02
Nd  0.0001  0.9999  0.9999  10 Ag 3.21-3.40, 6 Ga 3.40-3.57

Summary:
- space-group type = Imm2
- calculated total energy (eV/atom) = -3.21
- calculated volume (Å³/cell) = 240

=====

(2)
DFT (PBE) results for an optimized crystal structure of Nd6Ga3Ag.

Lattice parameters (Å, degrees): 7.7721 8.1174 9.4186 90.00 90.77 90.00
Last column: nearest neighbours and their distance in Å.
Element x y z (fractional)
Nd  0.6547  0.1699  0.9357  3 Ga 3.00-3.29, 1 Ag 3.07
Nd  0.3337  0.8294  0.4296  3 Ga 3.02-3.19, 1 Ag 3.04
Nd  0.7328  0.3973  0.2454  3 Ga 3.03-3.14, 1 Ag 3.14
Nd  0.3453  0.8301  0.0643  3 Ga 3.00-3.29, 1 Ag 3.07
Nd  0.8337  0.6706  0.9296  3 Ga 3.02-3.19, 1 Ag 3.04
Nd  0.7672  0.8973  0.2546  3 Ga 3.03-3.14, 1 Ag 3.14
Nd  0.6663  0.1706  0.5704  3 Ga 3.02-3.19, 1 Ag 3.04
Nd  0.1547  0.3301  0.4357  3 Ga 3.00-3.29, 1 Ag 3.07
Nd  0.2328  0.1027  0.7454  3 Ga 3.03-3.14, 1 Ag 3.14
Nd  0.1663  0.3293  0.0704  3 Ga 3.02-3.19, 1 Ag 3.04
Nd  0.8453  0.6699  0.5643  3 Ga 3.00-3.29, 1 Ag 3.07
Nd  0.2672  0.6027  0.7546  3 Ga 3.03-3.14, 1 Ag 3.14
Ga  0.5518  0.8654  0.7472  8 Nd 3.07-3.43
Ga  0.5000  0.5000  0.0000  6 Nd 3.00-3.03
Ga  0.4482  0.1346  0.2528  8 Nd 3.07-3.43
Ga  0.0518  0.6346  0.2472  8 Nd 3.07-3.43
Ga  0.9482  0.3654  0.7528  8 Nd 3.07-3.43
Ga  0.0000  0.0000  0.5000  6 Nd 3.00-3.03
Ag  0.0000  0.0000  0.0000  6 Nd 3.04-3.14
Ag  0.5000  0.5000  0.5000  6 Nd 3.04-3.14

Summary:
- space-group type = P2_1/c
- calculated total energy (eV/atom) = -4.29
- calculated volume (Å³/cell) = 594